SiSe2I (GGA-PBE, optimized geometry); magnetization = 0.000 Bohr magnetons per cell; E_form (uncorrected) = 0.7349 eV/atom; space-group type = Fm-3m; D(E_F) = 0.96 states/eV per atom
1.0
-3.278 -2.597 -2.850
-4.967 0.870 0.427
-2.493 2.323 -3.742
Se Si I
2 1 1
Direct
0.750 0.750 0.750
0.250 0.250 0.250
0.000 0.000 0.000
0.500 0.500 0.500